Material: V4Br
Method: DFT, PBE
State: optimized geometry

As for the mass density: 5.292 g/cm³. The total energy is -6.48 eV/atom. Its density of states at the Fermi level is 1.2910 states/eV/atom. As for the volume: 89.01 Å³ per cell. The symmetry is Pm-3m (221). As for the size of the total moment: 0.22 μB/cell.

a b c (Å): 4.465 4.465 4.465
angles (deg): 90.00 90.00 90.00
Site moments in Bohr magnetons follow the coordinates.
Element x y z (fractional)
Br (0.500, 0.500, 0.500)  0.00
V (0.500, 0.000, 0.500)  -0.91
V (0.500, 0.500, 0.000)  -0.91
V (0.000, 0.500, 0.500)  -0.91
V (0.000, 0.000, 0.000)  2.31



Material: VHg2Pd
Method: DFT, PBE
State: optimized geometry

As for the mass density: 12.648 g/cm³. Its density of states at the Fermi level is 1.5012 states/eV/atom. As for the volume: 73.33 Å³ per cell. The symmetry is Fm-3m (225). As for the size of the total moment: 2.86 μB/cell. As for the energy of formation: 0.1676 eV per atom.

a b c (Å): 4.698 4.698 4.698
angles (deg): 60.00 60.00 60.00
Site moments in Bohr magnetons follow the coordinates.
Element x y z (fractional)
V (0.000, 0.000, 0.000)  2.46
Hg (0.750, 0.750, 0.750)  0.02
Hg (0.250, 0.250, 0.250)  0.02
Pd (0.500, 0.500, 0.500)  0.00



Material: Ba2Hg5Bi4
Method: DFT, PBE
State: optimized geometry

As for the mass density: 9.492 g/cm³. Its density of states at the Fermi level is 0.3947 states/eV/atom. As for the volume: 369.75 Å³ per cell. The symmetry is C2/m (12). As for the size of the total moment: 0.00 μB/cell. As for the energy of formation: -0.3180 eV per atom.

a b c (Å): 7.042 7.022 9.594
angles (deg): 67.36 68.47 59.91
Element x y z (fractional)
Hg (0.000, 0.500, 0.500)
Hg (0.144, 0.264, 0.929)
Hg (0.664, 0.264, 0.929)
Hg (0.856, 0.736, 0.071)
Hg (0.336, 0.736, 0.071)
Bi (0.751, 0.738, 0.761)
Bi (0.540, 0.274, 0.646)
Bi (0.249, 0.262, 0.239)
Bi (0.460, 0.726, 0.354)
Ba (0.188, 0.914, 0.710)
Ba (0.812, 0.086, 0.290)